Here is a geometry-optimized MnNb3O structure from Alexandria. Energies are from GGA+U.

Cell: 4.5610 4.5610 4.5610 Å, 90.00 90.00 90.00°
Last column: nearest neighbours and their distance in Å.
Space group Pm-3m (No. 221)
Symmetry-distinct sites (fractional):
Mn 0.0000 0.0000 0.0000 [1 per cell]  6 Nb 2.28
Nb 0.0000 0.0000 0.5000 [3 per cell]  2 Mn 2.28
O 0.5000 0.5000 0.5000 [1 per cell]  12 Nb 3.23

Output
The volume is 18.98 A^3/atom. The calculated total energy is -6.819 eV/atom. Its crystal system is cubic.